Material: MnPdF5
Method: DFT, PBE+U
State: relaxed

**Uncorrected energy**: -5.013 eV/atom

```
MnPdF5
1.0
-3.4495 0.9296 4.2312
-0.6580 -5.2415 -0.9210
6.1850 0.6257 3.9538
F Pd Mn
10 2 2
direct
0.6479 0.2594 0.5145 F
0.3502 0.7432 0.4842 F
0.8249 0.7124 0.3771 F
0.1912 0.7963 0.1261 F
0.9932 0.2591 0.2578 F
0.0051 0.7434 0.7409 F
0.6562 0.7492 0.0148 F
0.8069 0.2060 0.8726 F
0.1733 0.2903 0.6217 F
0.3420 0.2533 0.9839 F
0.5031 0.7465 0.2497 Pd
0.4950 0.2560 0.7490 Pd
0.9991 0.5012 0.4993 Mn
0.9991 0.0012 0.9994 Mn
```